Below is HfZrTa2 after structural relaxation, with properties calculated at the GGA-PBEsol level.

Geometry as POSCAR:
```
HfZrTa2
1.0
4.784 0.000 0.000
2.392 4.143 0.000
2.392 1.381 3.906
Hf Zr Ta
1 1 2
Cartesian
4.784 2.762 1.953
0.000 0.000 0.000
2.392 1.381 0.976
7.176 4.143 2.929
```

Properties
As for the density of states at the Fermi level: 7.91 states/eV/cell. The crystal system is cubic. The calculation puts the total energy at -0.4036 hartree per atom. For the total magnetization, the calculation gives 0.0 μB/cell.

Below is HfZrTa3 after structural relaxation, with properties calculated at the GGA-PBEsol level.

Geometry as POSCAR:
```
HfZrTa3
1.0
4.805 0.000 0.000
0.000 4.805 0.000
0.000 0.000 4.805
Hf Zr Ta
1 1 3
Cartesian
2.402 2.402 2.402
0.000 0.000 0.000
0.000 2.402 0.000
0.000 0.000 2.402
2.402 0.000 0.000
```

Properties
As for the density of states at the Fermi level: 4.01 states/eV/cell. The crystal system is cubic. The calculation puts the total energy at -0.3597 hartree per atom. For the total magnetization, the calculation gives 0.0 μB/cell.

Below is Hf2TcTe2 after structural relaxation, with properties calculated at the GGA-PBEsol level.

Geometry as POSCAR:
```
Hf2TcTe2
1.0
3.952 0.000 0.000
0.000 3.952 0.000
-1.976 -1.976 7.645
Te Hf Tc
2 2 1
Cartesian
0.000 0.000 6.020
1.976 1.976 1.625
0.000 1.976 3.822
1.976 0.000 3.822
0.000 0.000 0.000
```

Properties
As for the density of states at the Fermi level: 4.24 states/eV/cell. The crystal system is tetragonal. Its formation energy (no corrections) is 0.65 eV per atom. The calculation puts the total energy at -0.2651 hartree per atom. For the total magnetization, the calculation gives 4.0 μB/cell.

Below is HfTcTe3 after structural relaxation, with properties calculated at the GGA-PBEsol level.

Geometry as POSCAR:
```
HfTcTe3
1.0
-3.849 -3.839 -0.451
1.504 -2.074 4.816
-3.561 3.274 2.522
Te Hf Tc
3 1 1
Cartesian
0.752 -1.037 2.408
-1.780 1.637 1.261
-1.924 -1.919 -0.226
0.000 0.000 0.000
-2.953 -1.319 3.443
```

Properties
As for the density of states at the Fermi level: 3.25 states/eV/cell. The crystal system is cubic. Its formation energy (no corrections) is 0.87 eV per atom. The calculation puts the total energy at -0.2058 hartree per atom. For the total magnetization, the calculation gives 4.9 μB/cell.

Below is Hf3TcTe after structural relaxation, with properties calculated at the GGA-PBEsol level.

Geometry as POSCAR:
```
Hf3TcTe
1.0
4.936 0.000 0.000
0.000 4.936 0.000
0.000 0.000 4.936
Te Hf Tc
1 3 1
Cartesian
2.468 2.468 2.468
0.000 2.468 0.000
0.000 0.000 2.468
2.468 0.000 0.000
0.000 0.000 0.000
```

Properties
As for the density of states at the Fermi level: 6.34 states/eV/cell. The crystal system is cubic. Its formation energy (no corrections) is 0.31 eV per atom. The calculation puts the total energy at -0.3289 hartree per atom. For the total magnetization, the calculation gives 0.0 μB/cell.

Below is Hf2TiTc after structural relaxation, with properties calculated at the GGA-PBEsol level.

Geometry as POSCAR:
```
Hf2TiTc
1.0
-3.667 -2.802 0.544
0.415 -3.918 2.465
-2.053 -0.360 4.153
Hf Tc Ti
2 1 1
Cartesian
-1.326 -1.770 1.791
-3.979 -5.310 5.372
-2.653 -3.540 3.581
0.000 0.000 0.000
```

Properties
As for the density of states at the Fermi level: 5.63 states/eV/cell. The crystal system is cubic. The calculation puts the total energy at -0.3783 hartree per atom. For the total magnetization, the calculation gives 2.0 μB/cell.

Below is HfTiTc after structural relaxation, with properties calculated at the GGA-PBEsol level.

Geometry as POSCAR:
```
HfTiTc
1.0
-4.250 2.662 -0.986
-3.664 0.423 3.693
-0.637 4.697 2.184
Hf Tc Ti
2 2 2
Cartesian
-3.512 4.659 1.230
-5.038 3.123 3.661
-1.832 0.212 1.846
-3.957 1.542 1.353
0.000 0.000 0.000
-2.151 2.560 2.938
```

Properties
As for the density of states at the Fermi level: 5.77 states/eV/cell. The crystal system is orthorhombic. The calculation puts the total energy at -0.3814 hartree per atom. For the total magnetization, the calculation gives 0.0 μB/cell.

Below is HfTc2W after structural relaxation, with properties calculated at the GGA-PBEsol level.

Geometry as POSCAR:
```
HfTc2W
1.0
4.455 0.000 0.000
2.227 3.858 0.000
2.227 1.286 3.637
Hf Tc W
1 2 1
Cartesian
4.455 2.572 1.819
2.227 1.286 0.909
6.682 3.858 2.728
0.000 0.000 0.000
```

Properties
As for the density of states at the Fermi level: 0.94 states/eV/cell. The crystal system is cubic. The calculation puts the total energy at -0.4426 hartree per atom. For the total magnetization, the calculation gives 0.0 μB/cell.

Below is YHf2Tc2 after structural relaxation, with properties calculated at the GGA-PBEsol level.

Geometry as POSCAR:
```
YHf2Tc2
1.0
-1.559 1.051 3.853
1.098 -3.864 1.498
5.301 3.429 -1.175
Y Hf Tc
1 2 2
Cartesian
0.000 0.000 0.000
3.084 -0.921 1.499
1.756 1.537 2.677
3.983 1.589 1.179
0.856 -0.973 2.997
```

Properties
As for the density of states at the Fermi level: 3.97 states/eV/cell. The crystal system is tetragonal. The calculation puts the total energy at -0.3709 hartree per atom. For the total magnetization, the calculation gives 0.0 μB/cell.

Below is Hf3ZnTc after structural relaxation, with properties calculated at the GGA-PBEsol level.

Geometry as POSCAR:
```
Hf3ZnTc
1.0
-1.673 -4.140 -1.589
3.927 -0.594 -2.588
2.061 -2.230 3.640
Zn Hf Tc
1 3 1
Cartesian
0.000 0.000 0.000
1.963 -0.297 -1.294
1.031 -1.115 1.820
-0.837 -2.070 -0.795
2.157 -3.482 -0.268
```

Properties
As for the density of states at the Fermi level: 7.56 states/eV/cell. The crystal system is cubic. The calculation puts the total energy at -0.2851 hartree per atom. For the total magnetization, the calculation gives 0.0 μB/cell.

Below is HfZrTc2 after structural relaxation, with properties calculated at the GGA-PBEsol level.

Geometry as POSCAR:
```
HfZrTc2
1.0
4.570 0.000 0.000
2.285 3.958 0.000
2.285 1.319 3.732
Hf Tc Zr
1 2 1
Cartesian
4.570 2.639 1.866
2.285 1.319 0.933
6.856 3.958 2.799
0.000 0.000 0.000
```

Properties
As for the density of states at the Fermi level: 3.56 states/eV/cell. The crystal system is cubic. The calculation puts the total energy at -0.4018 hartree per atom. For the total magnetization, the calculation gives 0.0 μB/cell.

Below is HfTe3 after structural relaxation, with properties calculated at the GGA-PBEsol level.

Geometry as POSCAR:
```
HfTe3
1.0
3.842 0.000 0.000
0.000 5.871 -0.043
0.000 -1.303 9.871
Te Hf
6 2
Cartesian
0.960 0.806 4.383
2.881 3.762 5.445
0.960 2.284 8.202
2.881 2.284 1.626
0.960 -0.580 8.274
2.881 5.148 1.554
0.960 3.740 3.233
2.881 0.828 6.595
```

Properties
As for the density of states at the Fermi level: 2.49 states/eV/cell. The crystal system is monoclinic. Its formation energy (no corrections) is -0.64 eV per atom. The calculation puts the total energy at -0.2171 hartree per atom. For the total magnetization, the calculation gives 0.0 μB/cell.

Below is Hf5Te4 after structural relaxation, with properties calculated at the GGA-PBEsol level.

Geometry as POSCAR:
```
Hf5Te4
1.0
3.718 0.000 0.000
1.859 7.499 0.000
1.859 0.000 7.499
Te Hf
4 5
Cartesian
1.859 1.773 4.965
3.718 2.534 1.773
3.718 4.965 5.727
5.576 5.727 2.534
1.859 0.430 2.417
3.718 5.082 0.430
3.718 2.417 7.069
5.576 7.069 5.082
0.000 0.000 0.000
```

Properties
As for the density of states at the Fermi level: 5.44 states/eV/cell. The crystal system is tetragonal. Its formation energy (no corrections) is -0.71 eV per atom. The calculation puts the total energy at -0.2980 hartree per atom. For the total magnetization, the calculation gives 0.0 μB/cell.